{"formula": "Nd4Tm3In2", "functional": "PBE-GGA", "state": "relaxed", "ef_ev_per_fu": -1.59, "dos_ef_per_ev_atom": 1.003, "magmom_total_mub_per_cell": 0.0, "vol_a3_per_cell": 277, "cell": [[5.393, 0.000, 0.000], [-2.695, 6.175, 0.000], [-0.009, -2.127, 8.330]], "species": ["Nd", "Nd", "Nd", "Nd", "Tm", "Tm", "Tm", "In", "In"], "frac_coords": [[0.114, 0.228, 0.157], [0.332, 0.664, 0.534], [0.668, 0.336, 0.466], [0.886, 0.772, 0.843], [0.000, 0.000, 0.500], [0.419, 0.837, 0.143], [0.581, 0.163, 0.857], [0.204, 0.410, 0.816], [0.796, 0.590, 0.184]]}

***

{"formula": "NdTmIn3", "functional": "PBE-GGA", "state": "relaxed", "ef_ev_per_fu": -2.17, "e_above_lowest_polymorph_kj_per_mol_atoms": 0.00, "dos_ef_per_ev_atom": 0.610, "magmom_total_mub_per_cell": 0.4, "vol_a3_per_cell": 268, "cell": [[1.849, -14.777, 0.000], [1.849, 14.777, 0.000], [0.000, 0.000, 4.914]], "species": ["Nd", "Nd", "Tm", "Tm", "In", "In", "In", "In", "In", "In"], "frac_coords": [[0.075, 0.925, 0.750], [0.925, 0.075, 0.250], [0.214, 0.786, 0.250], [0.786, 0.214, 0.750], [0.319, 0.681, 0.250], [0.377, 0.623, 0.750], [0.475, 0.525, 0.750], [0.525, 0.475, 0.250], [0.623, 0.377, 0.250], [0.681, 0.319, 0.750]]}